Li8ErO6: optimized geometry, PBE-GGA.

abc: 5.6088 5.6088 16.0237
angles: 90.00 90.00 120.00
Space group R-3 (No. 148, hexagonal axes)
One atom of each set of equivalent atoms:
Li 0.0000 0.0000 0.1515 (multiplicity 6)
Li 0.0171 0.7019 0.7110 (multiplicity 18)
Er 0.0000 0.0000 0.5000 (multiplicity 3)
O 0.0074 0.6537 0.2511 (multiplicity 18)

Results
The value obtained for the uncorrected formation energy is -2018 meV per atom. Its total energy is -5.33 eV/atom.